(1)
# Tb2Pr, optimized geometry, DFT PBE
# Distance to the lowest polymorph of the same formula   0 meV/atom
# Energy of formation from the pure elements   -1 meV/atom
# Calculated volume   200.4 Å³/cell
data_Tb2Pr
_chemical_formula_sum 'Tb4 Pr2'
_space_group_name_H-M_alt 'C 1 2/m 1'
_space_group_IT_number 12
_cell_length_a 6.3128
_cell_length_b 3.6427
_cell_length_c 8.9684
_cell_angle_alpha 90.00
_cell_angle_beta 103.67
_cell_angle_gamma 90.00
loop_
_space_group_symop_operation_xyz
'x,y,z'
'-x,-y,-z'
'-x,y,-z'
'x,-y,z'
'x+1/2,y+1/2,z'
'-x+1/2,-y+1/2,-z'
'-x+1/2,y+1/2,-z'
'x+1/2,-y+1/2,z'
loop_
_atom_site_label
_atom_site_type_symbol
_atom_site_fract_x
_atom_site_fract_y
_atom_site_fract_z
_atom_site_occupancy
Tb1 Tb 0.2204 0.0000 0.1632 1
Pr1 Pr 0.0000 0.0000 0.5000 1

=====

(2)
# V5Co2OsRu2, optimized geometry, DFT PBE
# Energy of formation from the pure elements   59 meV/atom
# Calculated volume   269.9 Å³/cell
data_V5Co2OsRu2
_chemical_formula_sum 'V10 Co4 Os2 Ru4'
_space_group_name_H-M_alt 'P 4/m b m'
_space_group_IT_number 127
_space_group_name_Hall '-P 4 2ab'
_cell_length_a 9.3115
_cell_length_b 9.3115
_cell_length_c 3.1125
_cell_angle_alpha 90.00
_cell_angle_beta 90.00
_cell_angle_gamma 90.00
loop_
_atom_site_label
_atom_site_type_symbol
_atom_site_fract_x
_atom_site_fract_y
_atom_site_fract_z
_atom_site_occupancy
V1 V 0.0000 0.5000 0.0000 1
V2 V 0.0717 0.1997 0.0000 1
Co1 Co 0.1287 0.3713 0.5000 1
Os1 Os 0.0000 0.0000 0.5000 1
Ru1 Ru 0.1668 0.6668 0.5000 1

=====

(3)
# Ta2HgW, optimized geometry, DFT PBE
# Energy of formation from the pure elements   433 meV/atom
# Calculated volume   73.4 Å³/cell
data_Ta2HgW
_chemical_formula_sum 'Ta2 Hg1 W1'
_space_group_name_H-M_alt 'P m m 2'
_space_group_IT_number 25
_cell_length_a 2.8217
_cell_length_b 4.4253
_cell_length_c 5.8785
_cell_angle_alpha 90.00
_cell_angle_beta 90.00
_cell_angle_gamma 90.00
loop_
_space_group_symop_operation_xyz
'x,y,z'
'-x,-y,z'
'-x,y,z'
'x,-y,z'
loop_
_atom_site_label
_atom_site_type_symbol
_atom_site_fract_x
_atom_site_fract_y
_atom_site_fract_z
_atom_site_occupancy
Ta1 Ta 0.0000 0.0000 0.0000 1
Ta2 Ta 0.5000 0.5000 0.2500 1
Hg1 Hg 0.5000 0.5000 0.7444 1
W1 W 0.0000 0.0000 0.4766 1

=====

(4)
# BaLiPrSe3, optimized geometry, DFT PBE
# E_form (uncorrected)   -1.8021 eV per atom
# Calculated volume   361.2 Å³/cell
data_BaLiPrSe3
_chemical_formula_sum 'Ba2 Li2 Pr2 Se6'
_space_group_name_H-M_alt 'P 1 21/m 1'
_space_group_IT_number 11
_cell_length_a 9.1050
_cell_length_b 4.3499
_cell_length_c 9.3711
_cell_angle_alpha 90.00
_cell_angle_beta 103.29
_cell_angle_gamma 90.00
loop_
_space_group_symop_operation_xyz
'x,y,z'
'-x,-y,-z'
'-x,y+1/2,-z'
'x,-y+1/2,z'
loop_
_atom_site_label
_atom_site_type_symbol
_atom_site_fract_x
_atom_site_fract_y
_atom_site_fract_z
_atom_site_occupancy
Ba1 Ba 0.1841 0.2500 0.2365 1
Li1 Li 0.0845 0.2500 0.5890 1
Pr1 Pr 0.3317 0.7500 0.8340 1
Se1 Se 0.1138 0.2500 0.8665 1
Se2 Se 0.2009 0.7500 0.5142 1
Se3 Se 0.4395 0.7500 0.1664 1

=====

(5)
# Hf2NiHPd, optimized geometry, DFT PBE
# Distance to the lowest polymorph of the same formula   107 meV/atom
# Calculated volume   71.8 Å³/cell
data_Hf2NiHPd
_chemical_formula_sum 'Hf2 Ni1 H1 Pd1'
_space_group_name_H-M_alt 'P 4/m m m'
_space_group_IT_number 123
_space_group_name_Hall '-P 4 2'
_cell_length_a 4.4108
_cell_length_b 4.4108
_cell_length_c 3.6918
_cell_angle_alpha 90.00
_cell_angle_beta 90.00
_cell_angle_gamma 90.00
loop_
_atom_site_label
_atom_site_type_symbol
_atom_site_fract_x
_atom_site_fract_y
_atom_site_fract_z
_atom_site_occupancy
Hf1 Hf 0.0000 0.5000 0.0000 1
Ni1 Ni 0.0000 0.0000 0.5000 1
H1 H 0.5000 0.5000 0.0000 1
Pd1 Pd 0.5000 0.5000 0.5000 1

=====

(6)
# Sr2ReRu, optimized geometry, DFT PBE
# Distance to the lowest polymorph of the same formula   463 meV/atom
# Energy of formation from the pure elements   945 meV/atom
# Calculated volume   599.5 Å³/cell
data_Sr2ReRu
_chemical_formula_sum 'Sr8 Re4 Ru4'
_space_group_name_H-M_alt 'I -4 2 d'
_space_group_IT_number 122
_space_group_name_Hall 'I -4 2bw'
_cell_length_a 11.3281
_cell_length_b 11.3281
_cell_length_c 4.6717
_cell_angle_alpha 90.00
_cell_angle_beta 90.00
_cell_angle_gamma 90.00
loop_
_atom_site_label
_atom_site_type_symbol
_atom_site_fract_x
_atom_site_fract_y
_atom_site_fract_z
_atom_site_occupancy
Sr1 Sr 0.0751 0.2500 0.1250 1
Re1 Re 0.0000 0.0000 0.5000 1
Ru1 Ru 0.0000 0.0000 0.0000 1